1.
A relaxed Li12Tl2Pd5 crystal, computed with PBE.

Structure (extended XYZ):
```
19
Lattice="5.9676 -3.9827 0.0000 5.9676 3.9827 0.0000 -5.5200 0.0000 6.7447" Properties=species:S:1:pos:R:3 pbc="T T T"
Li 2.5467 2.4148 1.3377
Li 1.3356 2.3394 4.1963
Li -3.9893 0.0000 6.7177
Li 5.0797 2.3394 2.5483
Li 1.9090 0.0000 2.8766
Li 3.8686 2.4148 5.4069
Li 2.5467 -2.4148 1.3377
Li 4.5063 0.0000 3.8681
Li 1.3356 -2.3394 4.1963
Li 10.4045 0.0000 0.0270
Li 5.0797 -2.3394 2.5483
Li 3.8686 -2.4148 5.4069
Tl 5.9676 1.6726 0.0000
Tl 5.9676 -1.6726 0.0000
Pd -2.7600 0.0000 3.3723
Pd -0.1856 0.0000 4.4806
Pd 3.9430 0.0000 1.1356
Pd 2.4723 0.0000 5.6090
Pd 6.6008 0.0000 2.2641
```

Output
* energy relative to the elements: -0.29 eV per atom
* polymorph energy (0 for the lowest one): 0.00 eV per formula unit

***

2.
A relaxed VBSb3 crystal, computed with PBE.

Structure (extended XYZ):
```
5
Lattice="4.7965 0.0000 0.0000 0.0000 4.7965 0.0000 0.0000 0.0000 4.7965" Properties=species:S:1:pos:R:3 pbc="T T T"
V 0.0000 0.0000 0.0000
B 2.3983 2.3983 2.3983
Sb 0.0000 2.3983 2.3983
Sb 2.3983 0.0000 2.3983
Sb 2.3983 2.3983 0.0000
```

Output
* polymorph energy (0 for the lowest one): 0.00 eV per formula unit
* E_form (uncorrected): 939 meV/atom

***

3.
A relaxed La2AlRu crystal, computed with PBE.

Structure (extended XYZ):
```
4
Lattice="3.7596 0.0000 0.0000 0.0000 3.6391 0.0000 -0.0172 0.0000 7.2705" Properties=species:S:1:pos:R:3 pbc="T T T"
La 0.0014 0.0000 1.9629
La 3.7411 0.0000 5.3077
Al 1.8798 1.8196 0.0000
Ru 1.8712 1.8196 3.6353
```

Output
* energy relative to the elements: -0.21 eV per atom

***

Number 1: volume 321 Å³/f.u.. Number 2: volume 110 Å³/f.u.. Number 3: volume 99 Å³/f.u..